Record 1
A relaxed BaRe2Ag crystal, computed with PBE.

Lattice parameters (Å, degrees): 4.795 4.795 4.795 60.00 60.00 60.00
Positions (direct):
Ba: 0.000 0.000 0.000
Re: 0.250 0.250 0.250
Re: 0.750 0.750 0.750
Ag: 0.500 0.500 0.500

Computed properties:
The final energy is -5.5341 eV/atom. As for the symmetry: Fm-3m, No. 225. As for the formation energy: 727 kJ/mol of formula units.



Record 2
A relaxed La2Pm2Bi2C crystal, computed with PBE.

Lattice parameters (Å, degrees): 9.130 9.130 9.130 147.91 147.91 46.02
Positions (direct):
La: 0.157 0.157 0.000
La: 0.843 0.843 0.000
Pm: 0.000 0.500 0.500
Pm: 0.500 0.000 0.500
Bi: 0.361 0.361 0.000
Bi: 0.639 0.639 0.000
C: 0.000 0.000 0.000

Computed properties:
The final energy is -5.8713 eV/atom. As for the symmetry: I4/mmm, No. 139. As for the formation energy: -459 kJ/mol of formula units.



Record 3
A relaxed SrCl crystal, computed with PBE.

Lattice parameters (Å, degrees): 7.078 8.798 8.944 90.00 90.00 90.00
Positions (direct):
Sr: 0.234 0.104 0.144
Sr: 0.238 0.369 0.568
Sr: 0.262 0.631 0.068
Sr: 0.266 0.896 0.644
Sr: 0.734 0.396 0.856
Sr: 0.738 0.131 0.432
Sr: 0.762 0.869 0.932
Sr: 0.766 0.604 0.356
Cl: 0.041 0.618 0.775
Cl: 0.174 0.670 0.408
Cl: 0.326 0.330 0.908
Cl: 0.459 0.382 0.275
Cl: 0.541 0.882 0.225
Cl: 0.674 0.830 0.592
Cl: 0.826 0.170 0.092
Cl: 0.959 0.118 0.725

Computed properties:
The final energy is -3.4601 eV/atom. As for the symmetry: P2_12_12_1, No. 19.



Record 4
A relaxed TbYZnSi crystal, computed with PBE.

Lattice parameters (Å, degrees): 4.077 5.796 5.796 42.55 90.00 90.00
Positions (direct):
Tb: 0.000 0.000 0.000
Y: 0.500 0.717 0.717
Zn: 0.000 0.288 0.288
Si: 0.500 0.432 0.432

Computed properties:
The final energy is -5.0330 eV/atom. As for the symmetry: Amm2, No. 38.



Record 5
A relaxed BeTlVCl6 crystal, computed with PBE.

Lattice parameters (Å, degrees): 6.132 6.132 7.197 90.00 90.00 120.00
Positions (direct):
Be: 0.000 0.000 0.000
Tl: 0.333 0.667 0.500
V: 0.667 0.333 0.000
Cl: 0.322 0.036 0.184
Cl: 0.322 0.286 0.816
Cl: 0.714 0.036 0.816
Cl: 0.714 0.678 0.184
Cl: 0.964 0.286 0.184
Cl: 0.964 0.678 0.816

Computed properties:
The final energy is -4.0590 eV/atom. As for the symmetry: P312, No. 149.



Record 6
A relaxed Na2Li5Sn4 crystal, computed with PBE.

Lattice parameters (Å, degrees): 24.351 24.351 24.351 11.71 11.71 11.71
Positions (direct):
Na: 0.047 0.047 0.047
Na: 0.244 0.244 0.244
Na: 0.756 0.756 0.756
Na: 0.953 0.953 0.953
Li: 0.201 0.201 0.201
Li: 0.285 0.285 0.285
Li: 0.323 0.323 0.323
Li: 0.441 0.441 0.441
Li: 0.479 0.479 0.479
Li: 0.521 0.521 0.521
Li: 0.559 0.559 0.559
Li: 0.677 0.677 0.677
Li: 0.715 0.715 0.715
Li: 0.799 0.799 0.799
Sn: 0.120 0.120 0.120
Sn: 0.160 0.160 0.160
Sn: 0.361 0.361 0.361
Sn: 0.400 0.400 0.400
Sn: 0.600 0.600 0.600
Sn: 0.639 0.639 0.639
Sn: 0.840 0.840 0.840
Sn: 0.880 0.880 0.880

Computed properties:
The final energy is -2.8073 eV/atom. As for the symmetry: R-3m, No. 166. As for the formation energy: -257 kJ/mol of formula units.



Record 7
A relaxed ZnCrTcNi crystal, computed with PBE.

Lattice parameters (Å, degrees): 4.175 4.175 4.175 60.00 60.00 60.00
Positions (direct):
Zn: 0.000 0.000 0.000
Cr: 0.500 0.500 0.500
Tc: 0.750 0.750 0.750
Ni: 0.250 0.250 0.250

Computed properties:
The final energy is -6.6779 eV/atom. As for the symmetry: F-43m, No. 216. As for the formation energy: 32 kJ/mol of formula units.



Record 8
A relaxed Ba3TbPr3Se8 crystal, computed with PBE.

Lattice parameters (Å, degrees): 9.086 9.086 9.086 57.09 57.09 57.09
Positions (direct):
Ba: 0.000 0.500 0.500
Ba: 0.500 0.000 0.500
Ba: 0.500 0.500 0.000
Tb: 0.500 0.500 0.500
Pr: 0.000 0.000 0.500
Pr: 0.000 0.500 0.000
Pr: 0.500 0.000 0.000
Se: 0.242 0.242 0.242
Se: 0.248 0.734 0.734
Se: 0.266 0.266 0.752
Se: 0.266 0.752 0.266
Se: 0.734 0.248 0.734
Se: 0.734 0.734 0.248
Se: 0.752 0.266 0.266
Se: 0.758 0.758 0.758

Computed properties:
The final energy is -5.4487 eV/atom. As for the symmetry: R-3m, No. 166.



Record 9
A relaxed SmPaCuGe crystal, computed with PBE.

Lattice parameters (Å, degrees): 5.007 5.007 5.007 60.00 60.00 60.00
Positions (direct):
Sm: 0.000 0.000 0.000
Pa: 0.500 0.500 0.500
Cu: 0.250 0.250 0.250
Ge: 0.750 0.750 0.750

Computed properties:
The final energy is -5.8960 eV/atom. As for the symmetry: F-43m, No. 216. As for the formation energy: -63 kJ/mol of formula units.



Record 10
A relaxed LiPa2O6 crystal, computed with PBE.

Lattice parameters (Å, degrees): 5.790 5.790 3.630 90.00 90.00 120.00
Positions (direct):
Li: 0.000 0.000 0.000
Pa: 0.333 0.667 0.746
Pa: 0.667 0.333 0.254
O: 0.081 0.691 0.246
O: 0.309 0.390 0.246
O: 0.390 0.081 0.754
O: 0.610 0.919 0.246
O: 0.691 0.610 0.754
O: 0.919 0.309 0.754

Computed properties:
The final energy is -8.6456 eV/atom. As for the symmetry: P-3, No. 147.



Record 11
A relaxed YAs2W crystal, computed with PBE.

Lattice parameters (Å, degrees): 3.580 4.825 5.149 90.00 110.28 90.00
Positions (direct):
Y: 0.000 0.000 0.000
As: 0.283 0.000 0.564
As: 0.578 0.500 0.155
W: 0.279 0.500 0.558

Computed properties:
The final energy is -7.5151 eV/atom. As for the symmetry: Pm, No. 6. As for the formation energy: -130 kJ/mol of formula units.



Record 12
A relaxed LiBe2Sb2 crystal, computed with PBE.

Lattice parameters (Å, degrees): 7.880 7.880 7.880 152.72 152.72 38.97
Positions (direct):
Li: 0.000 0.000 0.000
Be: 0.250 0.750 0.500
Be: 0.750 0.250 0.500
Sb: 0.363 0.363 0.000
Sb: 0.637 0.637 0.000

Computed properties:
The final energy is -3.5118 eV/atom. As for the symmetry: I4/mmm, No. 139.